A relaxed La2ErMg3Pt2Au crystal, computed with GGA-PBE.

The structure in POSCAR format:
```
La2ErMg3Pt2Au
1.0
-3.4172 1.0158 -2.0702
-0.8052 -7.2176 -2.2123
-3.2070 2.3744 6.4587
Pt Er Mg La Au
2 1 3 2 1
direct
0.5000 0.6637 0.3441
0.5000 0.3441 0.6637
0.0000 0.5851 0.5851
0.5000 0.9930 0.7534
0.5000 0.2504 0.2504
0.5000 0.7534 0.9930
0.0000 0.9994 0.4199
0.0000 0.4199 0.9994
0.0000 0.9909 0.9909
```

Computed properties:
Electronic total energy   -42.067 eV for the cell shown
Space-group type   Amm2
V   22.9 Å³ per atom